A plane-wave DFT calculation with PBE was carried out for crystalline NpPa2Tc at its relaxed geometry.

Cell lengths 4.902, 4.902, 4.902 Å; angles 60.00, 60.00, 60.00 degrees
Element x y z (fractional)
Pa  0.250  0.250  0.250
Pa  0.750  0.750  0.750
Np  0.500  0.500  0.500
Tc  0.000  0.000  0.000

Space-group type ... Fm-3m (225)
E_form ... 0.09 eV/atom
Relative energy among the computed polymorphs ... 0.084 eV/atom
Calculated volume ... 20.8 Å³/atom